VASP calculation (PBE-GGA) on a relaxed Sn2BiPbS4 crystal.

Summary:
Its space-group type is I-4m2, No. 119. As for the formation energy from raw total energies: -0.342 eV per atom.

a = 7.208 Å, b = 7.208 Å, c = 7.208 Å
α = 131.36°, β = 131.36°, γ = 71.24°
Fractional coordinates of all 8 atoms:
Sn1 0.000 0.000 0.000
Sn2 0.750 0.250 0.500
Bi1 0.500 0.500 0.000
Pb1 0.250 0.750 0.500
S1 0.253 0.253 0.000
S2 0.504 0.004 0.500
S3 0.747 0.747 0.000
S4 0.996 0.496 0.500